Entry 1:
{"formula": "Y2Fe7", "functional": "GGA-PBE", "state": "optimized geometry", "lattice": [[2.500, 1.444, 11.966], [-2.500, 1.444, 11.966], [0.000, -2.887, 11.966]], "species": ["Y", "Y", "Y", "Y", "Fe", "Fe", "Fe", "Fe", "Fe", "Fe", "Fe", "Fe", "Fe", "Fe", "Fe", "Fe", "Fe", "Fe"], "frac_coords": [[0.052, 0.052, 0.052], [0.150, 0.150, 0.150], [0.850, 0.850, 0.850], [0.948, 0.948, 0.948], [0.000, 0.500, 0.500], [0.109, 0.609, 0.609], [0.279, 0.279, 0.279], [0.387, 0.387, 0.387], [0.391, 0.391, 0.891], [0.391, 0.891, 0.391], [0.500, 0.000, 0.500], [0.500, 0.500, 0.000], [0.500, 0.500, 0.500], [0.609, 0.109, 0.609], [0.609, 0.609, 0.109], [0.613, 0.613, 0.613], [0.721, 0.721, 0.721], [0.891, 0.391, 0.391]], "final_energy_ev_per_atom": -7.9537, "spacegroup": "R-3m (166)"}



Entry 2:
{"formula": "Y6Fe23", "functional": "GGA-PBE", "state": "optimized geometry", "lattice": [[0.000, 5.972, 5.972], [5.972, 0.000, 5.972], [5.972, 5.972, 0.000]], "species": ["Y", "Y", "Y", "Y", "Y", "Y", "Fe", "Fe", "Fe", "Fe", "Fe", "Fe", "Fe", "Fe", "Fe", "Fe", "Fe", "Fe", "Fe", "Fe", "Fe", "Fe", "Fe", "Fe", "Fe", "Fe", "Fe", "Fe", "Fe"], "frac_coords": [[0.208, 0.208, 0.792], [0.208, 0.792, 0.208], [0.208, 0.792, 0.792], [0.792, 0.208, 0.208], [0.792, 0.208, 0.792], [0.792, 0.792, 0.208], [0.000, 0.000, 0.500], [0.000, 0.500, 0.000], [0.000, 0.500, 0.500], [0.135, 0.622, 0.622], [0.176, 0.176, 0.176], [0.176, 0.176, 0.473], [0.176, 0.473, 0.176], [0.378, 0.378, 0.378], [0.378, 0.378, 0.865], [0.378, 0.865, 0.378], [0.473, 0.176, 0.176], [0.500, 0.000, 0.000], [0.500, 0.000, 0.500], [0.500, 0.500, 0.000], [0.500, 0.500, 0.500], [0.527, 0.824, 0.824], [0.622, 0.135, 0.622], [0.622, 0.622, 0.135], [0.622, 0.622, 0.622], [0.824, 0.527, 0.824], [0.824, 0.824, 0.527], [0.824, 0.824, 0.824], [0.865, 0.378, 0.378]], "final_energy_ev_per_atom": -7.9682, "spacegroup": "Fm-3m (225)"}



Entry 3:
{"formula": "YFe3", "functional": "GGA-PBE", "state": "optimized geometry", "lattice": [[5.880, 0.000, 0.000], [-2.940, 5.092, 0.000], [0.000, 0.000, 4.283]], "species": ["Y", "Y", "Fe", "Fe", "Fe", "Fe", "Fe", "Fe"], "frac_coords": [[0.333, 0.667, 0.250], [0.667, 0.333, 0.750], [0.136, 0.271, 0.750], [0.136, 0.864, 0.750], [0.271, 0.136, 0.250], [0.729, 0.864, 0.750], [0.864, 0.136, 0.250], [0.864, 0.729, 0.250]], "final_energy_ev_per_atom": -7.7188, "spacegroup": "P6_3/mmc (194)"}



Entry 4:
{"formula": "YFe3", "functional": "GGA-PBE", "state": "optimized geometry", "lattice": [[5.085, 0.000, 0.000], [-2.542, 4.403, 0.000], [0.000, 0.000, 16.123]], "species": ["Y", "Y", "Y", "Y", "Y", "Y", "Fe", "Fe", "Fe", "Fe", "Fe", "Fe", "Fe", "Fe", "Fe", "Fe", "Fe", "Fe", "Fe", "Fe", "Fe", "Fe", "Fe", "Fe"], "frac_coords": [[0.333, 0.667, 0.037], [0.333, 0.667, 0.250], [0.333, 0.667, 0.463], [0.667, 0.333, 0.537], [0.667, 0.333, 0.750], [0.667, 0.333, 0.963], [0.000, 0.000, 0.000], [0.000, 0.000, 0.250], [0.000, 0.000, 0.500], [0.000, 0.000, 0.750], [0.167, 0.333, 0.628], [0.167, 0.333, 0.872], [0.167, 0.833, 0.628], [0.167, 0.833, 0.872], [0.333, 0.167, 0.128], [0.333, 0.167, 0.372], [0.333, 0.667, 0.750], [0.667, 0.333, 0.250], [0.667, 0.833, 0.628], [0.667, 0.833, 0.872], [0.833, 0.167, 0.128], [0.833, 0.167, 0.372], [0.833, 0.667, 0.128], [0.833, 0.667, 0.372]], "final_energy_ev_per_atom": -7.9097, "spacegroup": "P6_3/mmc (194)"}



Entry 5:
{"formula": "YFe3", "functional": "GGA-PBE", "state": "optimized geometry", "lattice": [[-1.906, 1.906, 4.253], [1.906, -1.906, 4.253], [1.906, 1.906, -4.253]], "species": ["Y", "Fe", "Fe", "Fe"], "frac_coords": [[0.000, 0.000, 0.000], [0.250, 0.750, 0.500], [0.500, 0.500, 0.000], [0.750, 0.250, 0.500]], "final_energy_ev_per_atom": -7.5108, "spacegroup": "I4/mmm (139)"}



Entry 6:
{"formula": "Y2Fe", "functional": "GGA-PBE", "state": "optimized geometry", "lattice": [[0.000, 4.180, 4.180], [4.180, 0.000, 4.180], [4.180, 4.180, 0.000]], "species": ["Y", "Y", "Y", "Y", "Fe", "Fe"], "frac_coords": [[0.000, 0.000, 0.000], [0.000, 0.000, 0.500], [0.000, 0.500, 0.000], [0.500, 0.000, 0.000], [0.375, 0.375, 0.375], [0.625, 0.625, 0.625]], "final_energy_ev_per_atom": -5.9762, "spacegroup": "Fd-3m (227)"}



Entry 7:
{"formula": "Y3Fe", "functional": "GGA-PBE", "state": "optimized geometry", "lattice": [[6.798, 0.000, 0.000], [-3.399, 5.888, 0.000], [0.000, 0.000, 5.176]], "species": ["Y", "Y", "Y", "Y", "Y", "Y", "Fe", "Fe"], "frac_coords": [[0.175, 0.350, 0.250], [0.175, 0.825, 0.250], [0.350, 0.175, 0.750], [0.650, 0.825, 0.250], [0.825, 0.175, 0.750], [0.825, 0.650, 0.750], [0.333, 0.667, 0.750], [0.667, 0.333, 0.250]], "final_energy_ev_per_atom": -6.6706, "spacegroup": "P6_3/mmc (194)"}



Entry 8:
{"formula": "Y3Fe29", "functional": "GGA-PBE", "state": "optimized geometry", "lattice": [[4.783, -4.209, 0.000], [4.783, 4.209, 0.000], [-1.179, 0.000, 10.315]], "species": ["Y", "Y", "Y", "Fe", "Fe", "Fe", "Fe", "Fe", "Fe", "Fe", "Fe", "Fe", "Fe", "Fe", "Fe", "Fe", "Fe", "Fe", "Fe", "Fe", "Fe", "Fe", "Fe", "Fe", "Fe", "Fe", "Fe", "Fe", "Fe", "Fe", "Fe", "Fe"], "frac_coords": [[0.000, 0.000, 0.000], [0.186, 0.186, 0.598], [0.814, 0.814, 0.402], [0.000, 0.500, 0.000], [0.093, 0.093, 0.292], [0.097, 0.592, 0.802], [0.129, 0.690, 0.198], [0.165, 0.462, 0.379], [0.187, 0.686, 0.595], [0.277, 0.277, 0.892], [0.291, 0.291, 0.141], [0.310, 0.871, 0.802], [0.314, 0.813, 0.405], [0.359, 0.641, 0.000], [0.408, 0.903, 0.198], [0.462, 0.165, 0.379], [0.479, 0.479, 0.746], [0.500, 0.000, 0.000], [0.500, 0.500, 0.500], [0.521, 0.521, 0.254], [0.538, 0.835, 0.621], [0.592, 0.097, 0.802], [0.641, 0.359, 0.000], [0.686, 0.187, 0.595], [0.690, 0.129, 0.198], [0.709, 0.709, 0.859], [0.723, 0.723, 0.108], [0.813, 0.314, 0.405], [0.835, 0.538, 0.621], [0.871, 0.310, 0.802], [0.903, 0.408, 0.198], [0.907, 0.907, 0.708]], "final_energy_ev_per_atom": -8.1413, "spacegroup": "C2/m (12)"}



Entry 9:
{"formula": "YZn2Fe", "functional": "GGA-PBE", "state": "optimized geometry", "lattice": [[0.000, 3.272, 3.272], [3.272, 0.000, 3.272], [3.272, 3.272, 0.000]], "species": ["Y", "Zn", "Zn", "Fe"], "frac_coords": [[0.000, 0.000, 0.000], [0.250, 0.250, 0.250], [0.500, 0.500, 0.500], [0.750, 0.750, 0.750]], "final_energy_ev_per_atom": -4.2494, "spacegroup": "F-43m (216)"}



Entry 10:
{"formula": "YZn2Fe", "functional": "GGA-PBE", "state": "optimized geometry", "lattice": [[0.000, 3.266, 3.266], [3.266, 0.000, 3.266], [3.266, 3.266, 0.000]], "species": ["Y", "Zn", "Zn", "Fe"], "frac_coords": [[0.000, 0.000, 0.000], [0.500, 0.500, 0.500], [0.750, 0.750, 0.750], [0.250, 0.250, 0.250]], "final_energy_ev_per_atom": -4.2488, "spacegroup": "F-43m (216)"}



Entry 11:
{"formula": "YZrZnFe", "functional": "GGA-PBE", "state": "optimized geometry", "lattice": [[0.000, 3.325, 3.325], [3.325, 0.000, 3.325], [3.325, 3.325, 0.000]], "species": ["Y", "Zr", "Zn", "Fe"], "frac_coords": [[0.000, 0.000, 0.000], [0.750, 0.750, 0.750], [0.250, 0.250, 0.250], [0.500, 0.500, 0.500]], "e_above_lowest_polymorph_ev_per_atom": 0.000, "spacegroup": "F-43m (216)"}



Entry 12:
{"formula": "Zn4Fe3", "functional": "GGA-PBE", "state": "optimized geometry", "lattice": [[6.943, 0.000, 0.000], [-3.472, 6.013, 0.000], [0.000, 0.000, 4.257]], "species": ["Zn", "Zn", "Zn", "Zn", "Zn", "Zn", "Zn", "Zn", "Fe", "Fe", "Fe", "Fe", "Fe", "Fe"], "frac_coords": [[0.049, 0.803, 0.250], [0.197, 0.246, 0.250], [0.246, 0.049, 0.750], [0.333, 0.667, 0.250], [0.667, 0.333, 0.750], [0.754, 0.951, 0.250], [0.803, 0.754, 0.750], [0.951, 0.197, 0.750], [0.101, 0.616, 0.750], [0.384, 0.484, 0.750], [0.484, 0.101, 0.250], [0.516, 0.899, 0.750], [0.616, 0.516, 0.250], [0.899, 0.384, 0.250]], "e_above_lowest_polymorph_ev_per_atom": 0.000, "spacegroup": "P6_3/m (176)"}



Entry 13:
{"formula": "ZnFe", "functional": "GGA-PBE", "state": "optimized geometry", "lattice": [[4.359, 0.000, 0.000], [0.000, 4.166, 0.000], [0.000, 0.000, 5.205]], "species": ["Zn", "Zn", "Zn", "Zn", "Fe", "Fe", "Fe", "Fe"], "frac_coords": [[0.074, 0.250, 0.124], [0.426, 0.750, 0.624], [0.574, 0.250, 0.376], [0.926, 0.750, 0.876], [0.056, 0.250, 0.623], [0.444, 0.750, 0.123], [0.556, 0.250, 0.877], [0.944, 0.750, 0.377]], "final_energy_ev_per_atom": -4.7149, "spacegroup": "Pnma (62)"}



Entry 14:
{"formula": "ZnFe", "functional": "GGA-PBE", "state": "optimized geometry", "lattice": [[5.064, 0.000, 0.000], [0.000, 3.968, 0.000], [-1.291, 0.000, 7.505]], "species": ["Zn", "Zn", "Zn", "Zn", "Zn", "Zn", "Fe", "Fe", "Fe", "Fe", "Fe", "Fe"], "frac_coords": [[0.146, 0.250, 0.080], [0.264, 0.750, 0.587], [0.353, 0.750, 0.916], [0.647, 0.250, 0.084], [0.736, 0.250, 0.413], [0.854, 0.750, 0.920], [0.050, 0.250, 0.729], [0.236, 0.250, 0.407], [0.442, 0.750, 0.269], [0.558, 0.250, 0.731], [0.764, 0.750, 0.593], [0.950, 0.750, 0.271]], "final_energy_ev_per_atom": -4.6956, "spacegroup": "P2_1/m (11)"}



Entry 15:
{"formula": "ZnFe", "functional": "GGA-PBE", "state": "optimized geometry", "lattice": [[4.235, 0.000, 0.000], [0.000, 6.742, 2.180], [0.000, -6.742, 2.180]], "species": ["Zn", "Zn", "Zn", "Zn", "Zn", "Fe", "Fe", "Fe", "Fe", "Fe"], "frac_coords": [[0.000, 0.000, 0.000], [0.000, 0.410, 0.614], [0.000, 0.614, 0.410], [0.500, 0.033, 0.237], [0.500, 0.237, 0.033], [0.000, 0.214, 0.801], [0.000, 0.801, 0.214], [0.500, 0.430, 0.838], [0.500, 0.639, 0.639], [0.500, 0.838, 0.430]], "final_energy_ev_per_atom": -4.7281, "spacegroup": "Amm2 (38)"}



Entry 16:
{"formula": "ZnFe", "functional": "GGA-PBE", "state": "optimized geometry", "lattice": [[4.235, 0.000, 0.000], [0.000, 10.399, 0.000], [0.000, 0.000, 4.584]], "species": ["Zn", "Zn", "Zn", "Zn", "Zn", "Zn", "Zn", "Zn", "Fe", "Fe", "Fe", "Fe", "Fe", "Fe", "Fe", "Fe"], "frac_coords": [[0.250, 0.000, 0.172], [0.250, 0.126, 0.662], [0.250, 0.374, 0.662], [0.250, 0.500, 0.172], [0.750, 0.000, 0.828], [0.750, 0.500, 0.828], [0.750, 0.626, 0.338], [0.750, 0.874, 0.338], [0.250, 0.250, 0.163], [0.250, 0.640, 0.667], [0.250, 0.750, 0.153], [0.250, 0.860, 0.667], [0.750, 0.140, 0.333], [0.750, 0.250, 0.847], [0.750, 0.360, 0.333], [0.750, 0.750, 0.837]], "final_energy_ev_per_atom": -4.7139, "spacegroup": "Pmmn (59)"}



Entry 17:
{"formula": "ZnFe", "functional": "GGA-PBE", "state": "optimized geometry", "lattice": [[4.201, 0.000, 0.000], [0.000, 11.291, 0.000], [0.000, 0.000, 4.209]], "species": ["Zn", "Zn", "Zn", "Zn", "Zn", "Zn", "Zn", "Zn", "Fe", "Fe", "Fe", "Fe", "Fe", "Fe", "Fe", "Fe"], "frac_coords": [[0.250, 0.117, 0.237], [0.250, 0.250, 0.739], [0.250, 0.383, 0.237], [0.250, 0.750, 0.741], [0.750, 0.250, 0.259], [0.750, 0.617, 0.763], [0.750, 0.750, 0.261], [0.750, 0.883, 0.763], [0.250, 0.000, 0.741], [0.250, 0.500, 0.741], [0.250, 0.617, 0.243], [0.250, 0.883, 0.243], [0.750, 0.000, 0.259], [0.750, 0.117, 0.757], [0.750, 0.383, 0.757], [0.750, 0.500, 0.259]], "final_energy_ev_per_atom": -4.7819, "spacegroup": "Pmmn (59)"}



Entry 18:
{"formula": "ZnFe", "functional": "GGA-PBE", "state": "optimized geometry", "lattice": [[0.000, 2.932, 2.932], [2.932, 0.000, 2.932], [2.932, 2.932, 0.000]], "species": ["Zn", "Zn", "Fe", "Fe"], "frac_coords": [[0.125, 0.125, 0.125], [0.875, 0.875, 0.875], [0.375, 0.375, 0.375], [0.625, 0.625, 0.625]], "final_energy_ev_per_atom": -4.7351, "spacegroup": "Fd-3m (227)"}



Entry 19:
{"formula": "ZnFe", "functional": "GGA-PBE", "state": "optimized geometry", "lattice": [[2.608, 0.000, 0.000], [-1.304, 2.258, 0.000], [0.000, 0.000, 4.272]], "species": ["Zn", "Fe"], "frac_coords": [[0.000, 0.000, 0.000], [0.333, 0.667, 0.500]], "final_energy_ev_per_atom": -4.7241, "spacegroup": "P-6m2 (187)"}



Entry 20:
{"formula": "ZnFe", "functional": "GGA-PBE", "state": "optimized geometry", "lattice": [[5.035, 0.000, 0.000], [0.000, 4.063, 0.000], [-1.100, 0.000, 10.074]], "species": ["Zn", "Zn", "Zn", "Zn", "Zn", "Zn", "Zn", "Zn", "Fe", "Fe", "Fe", "Fe", "Fe", "Fe", "Fe", "Fe"], "frac_coords": [[0.000, 0.000, 0.000], [0.008, 0.000, 0.750], [0.186, 0.000, 0.267], [0.401, 0.500, 0.140], [0.480, 0.000, 0.959], [0.685, 0.500, 0.836], [0.850, 0.500, 0.353], [0.883, 0.500, 0.106], [0.087, 0.000, 0.511], [0.195, 0.500, 0.890], [0.251, 0.500, 0.668], [0.350, 0.500, 0.445], [0.508, 0.000, 0.659], [0.607, 0.000, 0.435], [0.679, 0.000, 0.212], [0.770, 0.500, 0.591]], "final_energy_ev_per_atom": -4.6787, "spacegroup": "Pm (6)"}



Entry 21:
{"formula": "ZnFe", "functional": "GGA-PBE", "state": "optimized geometry", "lattice": [[4.148, 0.000, 0.000], [-2.074, 3.593, 0.000], [0.000, 0.000, 4.797]], "species": ["Zn", "Zn", "Fe", "Fe"], "frac_coords": [[0.333, 0.667, 0.250], [0.667, 0.333, 0.750], [0.333, 0.667, 0.750], [0.667, 0.333, 0.250]], "final_energy_ev_per_atom": -3.8495, "spacegroup": "P6_3/mmc (194)"}



Number 1: V 259.1 Å³ per cell. Number 2: V 426.1 Å³ per cell. Number 3: V 128.2 Å³ per cell. Number 4: V 361.0 Å³ per cell. Number 5: V 61.8 Å³ per cell. Number 6: V 146.1 Å³ per cell. Number 7: V 207.2 Å³ per cell. Number 8: V 415.4 Å³ per cell. Number 9: V 70.1 Å³ per cell. Number 10: V 69.7 Å³ per cell. Number 11: V 73.5 Å³ per cell. Number 12: V 177.7 Å³ per cell. Number 13: V 94.5 Å³ per cell. Number 14: V 150.8 Å³ per cell. Number 15: V 124.5 Å³ per cell. Number 16: V 201.9 Å³ per cell. Number 17: V 199.7 Å³ per cell. Number 18: V 50.4 Å³ per cell. Number 19: V 25.2 Å³ per cell. Number 20: V 206.1 Å³ per cell. Number 21: V 71.5 Å³ per cell.